5
Lattice="-1.6292 4.1692 0.5192 0.0594 -0.5340 4.4741 4.2010 1.6245 0.1381" Properties=species:S:1:pos:R:3 comment="Ni3WO, optimized geometry, DFT PBE+U" e_above_lowest_polymorph_mev_per_atom=2095 pbc="T T T"
Ni 0.0297 -0.2670 2.2370
Ni 2.1005 0.8122 0.0691
Ni -0.8146 2.0846 0.2596
W 0.0000 0.0000 0.0000
O 1.3156 2.6298 2.5657